Here is a relaxed structure of Tc3Ag from Alexandria. Energies are from PBE-GGA.

abc: 4.8611 4.8611 4.8290
angles: 100.45 100.45 33.17
Sites, in units of the cell vectors:
Tc 0.0000 0.0000 0.0000
Tc 0.2593 0.2593 0.7783
Tc 0.7407 0.7407 0.2217
Ag 0.5000 0.5000 0.5000

Properties
The calculation puts the magnetization at 0.0 μB per cell. The calculation puts the energy above the lowest structure with this stoichiometry at 161 meV per atom. Its crystal system is monoclinic.